! SrCaTe2N (GGA-PBE, optimized geometry); values from VASP
! - symmetry = No. 123
! - E_form (uncorrected) (eV per atom) = 0.034
! - density (g/cm3) = 3.600
! - spin magnetization (μB per formula unit) = 2.43
&SYSTEM
  ibrav = 0, nat = 5, ntyp = 4
/
ATOMIC_SPECIES
Sr 87.62 Sr.upf
Ca 40.08 Ca.upf
Te 127.60 Te.upf
N 14.01 N.upf
CELL_PARAMETERS angstrom
6.170 0.000 0.000
0.000 6.170 0.000
0.000 0.000 4.808
ATOMIC_POSITIONS crystal
Sr 0.000 0.000 0.000
Ca 0.500 0.500 0.500
Te 0.000 0.500 0.000
Te 0.500 0.000 0.000
N 0.000 0.000 0.500

***

! AcPuPdPb (GGA-PBE, optimized geometry); values from VASP
! - symmetry = No. 216
! - energy of formation from the pure elements (kJ/mol of atoms) = -29
! - density (g/cm3) = 11.199
! - spin magnetization (μB per formula unit) = 5.42
&SYSTEM
  ibrav = 0, nat = 4, ntyp = 4
/
ATOMIC_SPECIES
Pb 207.20 Pb.upf
Ac 227.00 Ac.upf
Pd 106.42 Pd.upf
Pu 244.00 Pu.upf
CELL_PARAMETERS angstrom
5.480 0.000 0.000
2.740 4.745 0.000
2.740 1.582 4.474
ATOMIC_POSITIONS crystal
Pb 0.250 0.250 0.250
Ac 0.000 0.000 0.000
Pd 0.750 0.750 0.750
Pu 0.500 0.500 0.500

***

! Ca3MgAl2 (GGA-PBE, optimized geometry); values from VASP
! - symmetry = No. 14
! - energy of formation from the pure elements (kJ/mol of atoms) = -9
! - density (g/cm3) = 1.952
! - spin magnetization (μB per formula unit) = 0.00
&SYSTEM
  ibrav = 0, nat = 24, ntyp = 3
/
ATOMIC_SPECIES
Ca 40.08 Ca.upf
Mg 24.30 Mg.upf
Al 26.98 Al.upf
CELL_PARAMETERS angstrom
-6.533 4.808 5.779
-7.851 -2.482 -6.810
1.191 -7.045 1.194
ATOMIC_POSITIONS crystal
Ca 0.212 0.884 0.996
Ca 0.288 0.384 0.504
Ca 0.788 0.116 0.004
Ca 0.712 0.616 0.496
Ca 0.383 0.442 0.121
Ca 0.117 0.942 0.379
Ca 0.617 0.558 0.879
Ca 0.883 0.058 0.621
Ca 0.976 0.637 0.322
Ca 0.524 0.137 0.178
Ca 0.024 0.363 0.678
Ca 0.476 0.863 0.822
Mg 0.563 0.876 0.457
Mg 0.937 0.376 0.043
Mg 0.437 0.124 0.543
Mg 0.063 0.624 0.957
Al 0.762 0.869 0.250
Al 0.738 0.369 0.250
Al 0.238 0.131 0.750
Al 0.262 0.631 0.750
Al 0.327 0.678 0.412
Al 0.173 0.178 0.088
Al 0.673 0.322 0.588
Al 0.827 0.822 0.912

***

! V2CoRh (GGA-PBE, optimized geometry); values from VASP
! - symmetry = No. 123
! - energy of formation from the pure elements (kJ/mol of atoms) = -23
! - density (g/cm3) = 8.577
! - spin magnetization (μB per formula unit) = 0.00
&SYSTEM
  ibrav = 0, nat = 4, ntyp = 3
/
ATOMIC_SPECIES
Co 58.93 Co.upf
Rh 102.91 Rh.upf
V 50.94 V.upf
CELL_PARAMETERS angstrom
-1.996 2.262 1.973
-2.487 0.259 -2.813
-1.907 -2.919 1.417
ATOMIC_POSITIONS crystal
Co 0.500 0.000 0.000
Rh 0.500 0.500 0.500
V 0.000 0.000 0.500
V 0.000 0.500 0.000

***

! Ga4Cu9Au2 (GGA-PBE, optimized geometry); values from VASP
! - symmetry = No. 164
! - energy of formation from the pure elements (kJ/mol of atoms) = -7
! - density (g/cm3) = 9.955
! - spin magnetization (μB per formula unit) = 0.00
&SYSTEM
  ibrav = 0, nat = 15, ntyp = 3
/
ATOMIC_SPECIES
Ga 69.72 Ga.upf
Cu 63.55 Cu.upf
Au 196.97 Au.upf
CELL_PARAMETERS angstrom
-3.658 -1.473 1.474
2.672 -2.590 -1.970
5.920 -2.879 11.815
ATOMIC_POSITIONS crystal
Ga 0.333 0.667 0.383
Ga 0.667 0.333 0.617
Ga 0.667 0.333 0.849
Ga 0.333 0.667 0.151
Cu 0.000 0.000 0.313
Cu 0.000 0.000 0.687
Cu 0.000 0.000 0.907
Cu 0.000 0.000 0.093
Cu 0.333 0.667 0.571
Cu 0.667 0.333 0.429
Cu 0.667 0.333 0.031
Cu 0.333 0.667 0.969
Cu 0.000 0.000 0.500
Au 0.333 0.667 0.770
Au 0.667 0.333 0.230

***

! Er2MgCdHg4 (GGA-PBE, optimized geometry); values from VASP
! - symmetry = No. 166
! - energy of formation from the pure elements (kJ/mol of atoms) = -39
! - density (g/cm3) = 11.563
! - spin magnetization (μB per formula unit) = 0.00
&SYSTEM
  ibrav = 0, nat = 8, ntyp = 4
/
ATOMIC_SPECIES
Er 167.26 Er.upf
Mg 24.30 Mg.upf
Cd 112.41 Cd.upf
Hg 200.59 Hg.upf
CELL_PARAMETERS angstrom
5.055 0.000 0.000
2.527 4.378 0.000
2.527 1.459 8.265
ATOMIC_POSITIONS crystal
Er 0.748 0.748 0.757
Er 0.252 0.252 0.243
Mg 0.500 0.500 0.500
Cd 0.000 0.000 0.000
Hg 0.378 0.378 0.866
Hg 0.872 0.872 0.385
Hg 0.128 0.128 0.615
Hg 0.622 0.622 0.134